Record 1
First-principles (SCAN) data for a crystal of NaCa3Rh relaxed with PBEsol, as listed in Alexandria via LeMat-Bulk.

The structure belongs to space group Pm-3m (No. 221); the cell edges are 5.504, 5.504 and 5.504 Å and the angles 90.00°, 90.00° and 90.00°. The distinct sites, in fractional coordinates, are Na at (0.000, 0.000, 0.000), Ca at (0.000, 0.500, 0.500) and Rh at (0.500, 0.500, 0.500).

The crystal system is cubic. The energy of formation from the pure elements is -0.234 eV per atom. The size of the total moment comes out at 0.0 μB/f.u. For the theoretical density, the calculation gives 2.5 g/cm3.

Record 2
First-principles (SCAN) data for a crystal of Sr3Te relaxed with PBEsol, as listed in Alexandria via LeMat-Bulk.

The structure belongs to space group R-3m (No. 166, hexagonal axes); the cell edges are 11.7429, 11.7429 and 4.0921 Å and the angles 90.00°, 90.00° and 120.00°. The distinct sites, in fractional coordinates, are Sr at (0.0000, 0.5000, 0.0000) and Te at (0.0000, 0.0000, 0.0000).

The crystal system is trigonal. The size of the total moment comes out at 0.0 μB/f.u. For the theoretical density, the calculation gives 4.0 g/cm3. For the formation energy (no corrections), the calculation gives -0.4744 eV per atom.

Record 3
First-principles (SCAN) data for a crystal of VCrP2O8F2 relaxed with PBEsol, as listed in Alexandria via LeMat-Bulk.

The structure belongs to space group P-1 (No. 2); the cell edges are 5.064, 5.116 and 7.195 Å and the angles 109.95°, 107.84° and 94.36°. The distinct sites, in fractional coordinates, are V at (0.000, 0.000, 0.000), Cr at (0.500, 0.500, 0.500), P at (0.420, 0.123, 0.752), O at (0.252, 0.133, 0.901), O at (0.258, 0.810, 0.113), O at (0.339, 0.825, 0.579), O at (0.350, 0.352, 0.665) and F at (0.154, 0.319, 0.258).

The crystal system is triclinic. The size of the total moment comes out at 3.0 μB/f.u. For the theoretical density, the calculation gives 3.4 g/cm3. For the formation energy (no corrections), the calculation gives -2.5409 eV per atom.

Record 4
First-principles (SCAN) data for a crystal of Zn relaxed with PBEsol, as listed in Alexandria via LeMat-Bulk.

The structure belongs to space group Fm-3m (No. 225); the cell edges are 3.837, 3.837 and 3.837 Å and the angles 90.00°, 90.00° and 90.00°. The distinct sites, in fractional coordinates, are Zn at (0.000, 0.000, 0.000).

The crystal system is cubic. The energy of formation from the pure elements is 0.037 eV per atom. The size of the total moment comes out at 0.0 μB/f.u. For the theoretical density, the calculation gives 7.7 g/cm3.

Record 5
First-principles (SCAN) data for a crystal of MgVSiO5 relaxed with PBEsol, as listed in Alexandria via LeMat-Bulk.

The structure belongs to space group P-1 (No. 2); the cell edges are 5.111, 5.373 and 6.880 Å and the angles 105.31°, 101.54° and 108.54°. The distinct sites, in fractional coordinates, are Mg at (0.155, 0.282, 0.212), V at (0.500, 0.000, 0.000), V at (0.500, 0.000, 0.500), Si at (0.189, 0.321, 0.741), O at (0.104, 0.803, 0.463), O at (0.188, 0.133, 0.899), O at (0.192, 0.624, 0.877), O at (0.409, 0.057, 0.248) and O at (0.475, 0.358, 0.659).

The crystal system is triclinic. The size of the total moment comes out at 1.0 μB/f.u. For the theoretical density, the calculation gives 3.7 g/cm3. For the formation energy (no corrections), the calculation gives -2.8704 eV per atom.

Record 6
First-principles (SCAN) data for a crystal of ScTlCl3 relaxed with PBEsol, as listed in Alexandria via LeMat-Bulk.

The structure belongs to space group Pm-3m (No. 221); the cell edges are 4.991, 4.991 and 4.991 Å and the angles 90.00°, 90.00° and 90.00°. The distinct sites, in fractional coordinates, are Sc at (0.000, 0.000, 0.000), Tl at (0.500, 0.500, 0.500) and Cl at (0.000, 0.000, 0.500).

The crystal system is cubic. The size of the total moment comes out at 0.0 μB/f.u. For the theoretical density, the calculation gives 4.8 g/cm3. For the formation energy (no corrections), the calculation gives -1.6609 eV per atom.

Record 7
First-principles (SCAN) data for a crystal of Fe3SnSb relaxed with PBEsol, as listed in Alexandria via LeMat-Bulk.

The structure belongs to space group Pm-3m (No. 221); the cell edges are 4.674, 4.674 and 4.674 Å and the angles 90.00°, 90.00° and 90.00°. The distinct sites, in fractional coordinates, are Fe at (0.000, 0.000, 0.500), Sn at (0.500, 0.500, 0.500) and Sb at (0.000, 0.000, 0.000).

The crystal system is cubic. The size of the total moment comes out at 7.7 μB/f.u. For the theoretical density, the calculation gives 6.6 g/cm3. For the formation energy (no corrections), the calculation gives 1.0630 eV per atom.

Record 8
First-principles (SCAN) data for a crystal of SbAsPd5 relaxed with PBEsol, as listed in Alexandria via LeMat-Bulk.

The structure belongs to space group Fd-3m (No. 227, origin choice 2); the cell edges are 12.190, 12.190 and 12.190 Å and the angles 90.00°, 90.00° and 90.00°. The distinct sites, in fractional coordinates, are Sb at (0.000, 0.000, 0.000), As at (0.000, 0.000, 0.500), Pd at (0.035, 0.035, 0.215) and Pd at (0.090, 0.375, 0.875).

The crystal system is cubic. The size of the total moment comes out at 0.0 μB/f.u. For the theoretical density, the calculation gives 10.7 g/cm3. For the formation energy (no corrections), the calculation gives -0.4263 eV per atom.

Record 9
First-principles (SCAN) data for a crystal of LiCdPO4 relaxed with PBEsol, as listed in Alexandria via LeMat-Bulk.

The structure belongs to space group Pna2_1 (No. 33); the cell edges are 10.748, 4.789 and 6.281 Å and the angles 90.00°, 90.00° and 90.00°. The distinct sites, in fractional coordinates, are Li at (0.003, 0.015, 0.000), Cd at (0.218, 0.544, 0.742), P at (0.087, 0.603, 0.240), O at (0.046, 0.272, 0.741), O at (0.090, 0.283, 0.237), O at (0.154, 0.733, 0.438) and O at (0.154, 0.738, 0.044).

The crystal system is orthorhombic. The size of the total moment comes out at 0.0 μB/f.u. For the theoretical density, the calculation gives 4.4 g/cm3. For the formation energy (no corrections), the calculation gives -2.2869 eV per atom.

Record 10
First-principles (SCAN) data for a crystal of MgIn2Ru relaxed with PBEsol, as listed in Alexandria via LeMat-Bulk.

The structure belongs to space group F-43m (No. 216); the cell edges are 6.621, 6.621 and 6.621 Å and the angles 90.00°, 90.00° and 90.00°. The distinct sites, in fractional coordinates, are Mg at (0.000, 0.000, 0.000), In at (0.000, 0.000, 0.500), In at (0.250, 0.250, 0.250) and Ru at (0.250, 0.250, 0.750).

The crystal system is cubic. The energy of formation from the pure elements is 0.181 eV per atom. The size of the total moment comes out at 0.0 μB/f.u. For the theoretical density, the calculation gives 8.1 g/cm3.

Record 11
First-principles (SCAN) data for a crystal of TaRe4 relaxed with PBEsol, as listed in Alexandria via LeMat-Bulk.

The structure belongs to space group I4/mmm (No. 139); the cell edges are 4.010, 4.010 and 10.779 Å and the angles 90.00°, 90.00° and 90.00°. The distinct sites, in fractional coordinates, are Ta at (0.000, 0.000, 0.000), Re at (0.000, 0.000, 0.390) and Re at (0.000, 0.500, 0.250).

The crystal system is tetragonal. The energy of formation from the pure elements is 0.468 eV per atom. The size of the total moment comes out at 0.0 μB/f.u. For the theoretical density, the calculation gives 17.7 g/cm3.

Record 12
First-principles (SCAN) data for a crystal of LiZrTe4 relaxed with PBEsol, as listed in Alexandria via LeMat-Bulk.

The structure belongs to space group F-43m (No. 216); the cell edges are 8.790, 8.790 and 8.790 Å and the angles 90.00°, 90.00° and 90.00°. The distinct sites, in fractional coordinates, are Li at (0.000, 0.000, 0.000), Zr at (0.250, 0.250, 0.750) and Te at (0.125, 0.125, 0.375).

The crystal system is cubic. The size of the total moment comes out at 2.5 μB/f.u. For the theoretical density, the calculation gives 6.0 g/cm3. For the formation energy (no corrections), the calculation gives 0.3949 eV per atom.

| no. | density of states at the Fermi level (states/eV/cell) | total DFT energy (no corrections) (eV for the cell shown) |
| --- | --- | --- |
| 1 | 3.105 | -68.15 |
| 2 | 5.070 | -317.92 |
| 3 | 1.610 | -149.17 |
| 4 | 0.952 | -53.91 |
| 5 | 1.406 | -173.19 |
| 6 | 3.719 | -118.83 |
| 7 | 2.680 | -122.26 |
| 8 | 59.587 | -3588.92 |
| 9 | 0.000 | -336.54 |
| 10 | 9.072 | -423.39 |
| 11 | 8.799 | -697.27 |
| 12 | 18.166 | -718.90 |